1.
Computed, not measured: crystalline InGa2AsPd at its relaxed geometry at the PBE level of DFT.

Computed properties:
- V: 121 Å³/f.u.
- Formation energy: 0.19 eV/atom
- Total energy: -3.53 eV/atom
- Space group: No. 123

a b c (Å): 5.027 5.027 4.781
angles (deg): 90.00 90.00 90.00
Sites, in units of the cell vectors:
In  0.000  0.000  0.000
Ga  0.000  0.500  0.500
Ga  0.500  0.000  0.500
As  0.500  0.500  0.500
Pd  0.500  0.500  0.000


2.
Computed, not measured: crystalline RbInGaAs2 at its relaxed geometry at the PBE level of DFT.

Computed properties:
- V: 158 Å³/f.u.
- Formation energy: -0.18 eV/atom
- Total energy: -3.39 eV/atom
- Space group: No. 67

a b c (Å): 7.855 7.855 6.704
angles (deg): 90.00 90.00 130.23
Sites, in units of the cell vectors:
Rb  0.250  0.750  0.763
Rb  0.750  0.250  0.237
In  0.250  0.250  0.500
In  0.750  0.750  0.500
Ga  0.000  0.000  0.000
Ga  0.500  0.500  0.000
As  0.111  0.889  0.264
As  0.389  0.611  0.264
As  0.611  0.389  0.736
As  0.889  0.111  0.736


3.
Computed, not measured: crystalline Rb2InGa2As4 at its relaxed geometry at the PBE level of DFT.

Computed properties:
- V: 258 Å³/f.u.
- Formation energy: -0.32 eV/atom
- Total energy: -3.58 eV/atom
- Space group: No. 12

a b c (Å): 8.604 8.604 8.125
angles (deg): 107.31 107.31 26.82
Sites, in units of the cell vectors:
Rb  0.130  0.130  0.033
Rb  0.870  0.870  0.967
In  0.000  0.000  0.500
Ga  0.328  0.328  0.526
Ga  0.672  0.672  0.474
As  0.212  0.212  0.676
As  0.479  0.479  0.716
As  0.521  0.521  0.284
As  0.788  0.788  0.324


4.
Computed, not measured: crystalline InGa2SbAs at its relaxed geometry at the PBE level of DFT.

Computed properties:
- V: 146 Å³/f.u.
- ΔE_f (raw): 0.59 eV per atom
- Total energy: -2.92 eV/atom
- Space group: No. 123

a b c (Å): 5.211 5.211 5.389
angles (deg): 90.00 90.00 90.00
Sites, in units of the cell vectors:
In  0.000  0.000  0.000
Ga  0.000  0.500  0.000
Ga  0.500  0.000  0.000
Sb  0.500  0.500  0.500
As  0.000  0.000  0.500


5.
Computed, not measured: crystalline InGaAsSe2 at its relaxed geometry at the PBE level of DFT.

Computed properties:
- Energy relative to the lowest polymorph listed for this composition: 0.0 meV/atom
- V: 133 Å³/f.u.
- ΔE_f (raw): 0.23 eV per atom
- Total energy: -3.25 eV/atom
- Space group: No. 123

a b c (Å): 5.141 5.141 5.020
angles (deg): 90.00 90.00 90.00
Sites, in units of the cell vectors:
In  0.000  0.000  0.000
Ga  0.500  0.500  0.500
As  0.500  0.500  0.000
Se  0.000  0.500  0.500
Se  0.500  0.000  0.500


6.
Computed, not measured: crystalline InGaAsSe2 at its relaxed geometry at the PBE level of DFT.

Computed properties:
- Energy relative to the lowest polymorph listed for this composition: 209.2 meV/atom
- V: 152 Å³/f.u.
- ΔE_f (raw): 0.43 eV per atom
- Total energy: -3.04 eV/atom
- Space group: No. 123

a b c (Å): 5.371 5.371 5.264
angles (deg): 90.00 90.00 90.00
Sites, in units of the cell vectors:
In  0.000  0.000  0.000
Ga  0.500  0.500  0.500
As  0.000  0.000  0.500
Se  0.000  0.500  0.000
Se  0.500  0.000  0.000


7.
Computed, not measured: crystalline InGaAsSe at its relaxed geometry at the PBE level of DFT.

Computed properties:
- V: 109 Å³/f.u.
- ΔE_f (raw): -0.23 eV per atom
- Total energy: -3.71 eV/atom
- Space group: No. 156

a b c (Å): 4.085 4.085 7.510
angles (deg): 90.00 90.00 120.00
Sites, in units of the cell vectors:
In  0.000  0.000  0.000
Ga  0.000  0.000  0.640
As  0.333  0.667  0.547
Se  0.667  0.333  0.171


8.
Computed, not measured: crystalline InGaAs2Se at its relaxed geometry at the PBE level of DFT.

Computed properties:
- Energy relative to the lowest polymorph listed for this composition: 257.4 meV/atom
- V: 161 Å³/f.u.
- ΔE_f (raw): 0.67 eV per atom
- Total energy: -3.04 eV/atom
- Space group: No. 123

a b c (Å): 5.388 5.388 5.555
angles (deg): 90.00 90.00 90.00
Sites, in units of the cell vectors:
In  0.000  0.000  0.000
Ga  0.500  0.500  0.500
As  0.000  0.500  0.000
As  0.500  0.000  0.000
Se  0.000  0.000  0.500


9.
Computed, not measured: crystalline InGaAs2Se at its relaxed geometry at the PBE level of DFT.

Computed properties:
- Energy relative to the lowest polymorph listed for this composition: 0.0 meV/atom
- V: 133 Å³/f.u.
- ΔE_f (raw): 0.41 eV per atom
- Total energy: -3.30 eV/atom
- Space group: No. 123

a b c (Å): 5.049 5.049 5.211
angles (deg): 90.00 90.00 90.00
Sites, in units of the cell vectors:
In  0.000  0.000  0.000
Ga  0.500  0.500  0.500
As  0.000  0.500  0.500
As  0.500  0.000  0.500
Se  0.500  0.500  0.000


10.
Computed, not measured: crystalline InGa2TcAs at its relaxed geometry at the PBE level of DFT.

Computed properties:
- Energy relative to the lowest polymorph listed for this composition: 665.3 meV/atom
- V: 138 Å³/f.u.
- Formation energy: 1.34 eV/atom
- Total energy: -3.43 eV/atom
- Space group: No. 123

a b c (Å): 5.116 5.116 5.290
angles (deg): 90.00 90.00 90.00
Sites, in units of the cell vectors:
In  0.000  0.000  0.000
Ga  0.000  0.500  0.000
Ga  0.500  0.000  0.000
Tc  0.500  0.500  0.500
As  0.000  0.000  0.500


11.
Computed, not measured: crystalline InGa2TcAs at its relaxed geometry at the PBE level of DFT.

Computed properties:
- Energy relative to the lowest polymorph listed for this composition: 0.0 meV/atom
- V: 120 Å³/f.u.
- Formation energy: 0.67 eV/atom
- Total energy: -4.09 eV/atom
- Space group: No. 123

a b c (Å): 5.028 5.028 4.733
angles (deg): 90.00 90.00 90.00
Sites, in units of the cell vectors:
In  0.000  0.000  0.000
Ga  0.000  0.500  0.500
Ga  0.500  0.000  0.500
Tc  0.500  0.500  0.000
As  0.500  0.500  0.500


12.
Computed, not measured: crystalline V2InGaAs at its relaxed geometry at the PBE level of DFT.

Computed properties:
- V: 111 Å³/f.u.
- Formation energy: 0.93 eV/atom
- Total energy: -4.80 eV/atom
- Space group: No. 123

a b c (Å): 4.783 4.783 4.860
angles (deg): 90.00 90.00 90.00
Sites, in units of the cell vectors:
V  0.000  0.500  0.000
V  0.500  0.000  0.000
In  0.000  0.000  0.500
Ga  0.000  0.000  0.000
As  0.500  0.500  0.500